## PrNd2Tc (PBE)

Data for a relaxed structure of PrNd2Tc.

Values from the calculation:
As for the density of states at the Fermi level: 4.74 states/eV/f.u. The value obtained for the energy above the most stable polymorph in this dataset is 321 meV/atom.

Cell: 11.391 11.391 11.391 Å, 17.84 17.84 17.84°
Sites, in units of the cell vectors:
Pr  0.000  0.000  0.000
Nd  0.105  0.105  0.105
Nd  0.895  0.895  0.895
Tc  0.500  0.500  0.500